# 1
{"formula": "Sr2TcCCl", "functional": "PBE", "state": "optimized geometry", "sg": "No. 123", "mass_density_g_cm3": 4.30, "total_energy_ev_per_atom": -5.2686, "lattice": [[5.6035, 0.0000, 0.0000], [0.0000, 3.9460, 0.0000], [0.0000, 0.0000, 5.6035]], "species": ["Cl", "C", "Sr", "Tc", "Sr"], "frac_coords": [[0.5000, 0.5000, 0.5000], [0.0000, 0.0000, 0.0000], [0.0000, 0.0000, 0.5000], [0.0000, 0.5000, 0.0000], [0.5000, 0.0000, 0.0000]]}


# 2
{"formula": "Be3P", "functional": "PBE", "state": "optimized geometry", "sg": "No. 139", "mass_density_g_cm3": 2.51, "de_polymorph_ev_per_fu": 0.20, "e_form_ev_per_atom": 0.26, "total_energy_ev_per_atom": -3.8878, "lattice": [[-2.4901, 3.0811, -1.5653], [-4.1709, -0.7972, 0.3347], [3.3002, -0.1121, 2.6907]], "species": ["Be", "P", "Be", "Be"], "frac_coords": [[0.7500, 0.2500, 0.5000], [0.0000, 0.0000, 0.0000], [0.5000, 0.5000, 0.0000], [0.2500, 0.7500, 0.5000]]}


# 3
{"formula": "Sr3Ce2UAs6", "functional": "PBE", "state": "optimized geometry", "sg": "No. 12", "mass_density_g_cm3": 5.93, "e_form_ev_per_atom": -1.19, "total_energy_ev_per_atom": -5.8667, "lattice": [[-6.3508, 0.6013, -3.9014], [0.2636, -4.3694, 6.0626], [0.0625, 6.7627, 3.3321]], "species": ["As", "Sr", "Sr", "As", "Ce", "As", "Ce", "As", "Sr", "U", "As", "As"], "frac_coords": [[0.0726, 0.3951, 0.2184], [0.8314, 0.1686, 0.5000], [0.5000, 0.5000, 0.5000], [0.6049, 0.9274, 0.7816], [0.6663, 0.3337, 0.0000], [0.3951, 0.0726, 0.2184], [0.3337, 0.6663, 0.0000], [0.7509, 0.7509, 0.2179], [0.1686, 0.8314, 0.5000], [0.0000, 0.0000, 0.0000], [0.9274, 0.6049, 0.7816], [0.2491, 0.2491, 0.7821]]}